[1]
First-principles (PBEsol) data for a relaxed Ti2Ga2Pd crystal, as listed in Alexandria via LeMat-Bulk.

The structure in CIF format:
```
data_Ti2Ga2Pd
_chemical_formula_sum 'Ti4 Ga4 Pd2'
_cell_length_a 6.389
_cell_length_b 6.389
_cell_length_c 3.783
_cell_angle_alpha 90.00
_cell_angle_beta 90.00
_cell_angle_gamma 90.00
_symmetry_space_group_name_H-M 'P 4/m b m'
_symmetry_Int_Tables_number 127
_symmetry_space_group_name_Hall '-P 4 2ab'
loop_
_atom_site_label
_atom_site_fract_x
_atom_site_fract_y
_atom_site_fract_z
Ti1 0.165 0.335 0.000
Ga1 0.137 0.637 0.500
Pd1 0.000 0.000 0.500
```

Properties
density of states at the Fermi level = 3.862 states/eV/f.u.
energy relative to the elements = -277 kJ/mol of formula units
M_tot = 0.00 Bohr magnetons per cell

=====

[2]
First-principles (PBEsol) data for a relaxed CaTi2S4 crystal, as listed in Alexandria via LeMat-Bulk.

The structure in CIF format:
```
data_CaTi2S4
_chemical_formula_sum 'Ca2 Ti4 S8'
_cell_length_a 14.478
_cell_length_b 3.475
_cell_length_c 5.837
_cell_angle_alpha 90.00
_cell_angle_beta 112.07
_cell_angle_gamma 90.00
_symmetry_space_group_name_H-M 'C 1 2/m 1'
_symmetry_Int_Tables_number 12
loop_
_symmetry_equiv_pos_as_xyz
'x,y,z'
'-x,-y,-z'
'-x,y,-z'
'x,-y,z'
'x+1/2,y+1/2,z'
'-x+1/2,-y+1/2,-z'
'-x+1/2,y+1/2,-z'
'x+1/2,-y+1/2,z'
loop_
_atom_site_label
_atom_site_fract_x
_atom_site_fract_y
_atom_site_fract_z
Ca1 0.000 0.000 0.000
Ti1 0.247 0.500 0.733
S1 0.139 0.000 0.483
S2 0.145 0.500 0.988
```

Properties
density of states at the Fermi level = 4.191 states/eV/f.u.
uncorrected formation energy = -1.627 eV per atom
relative energy among the computed polymorphs = 0.014 eV per atom
M_tot = 0.00 Bohr magnetons per cell

=====

[3]
First-principles (PBEsol) data for a relaxed SbAsAu2 crystal, as listed in Alexandria via LeMat-Bulk.

The structure in CIF format:
```
data_SbAsAu2
_chemical_formula_sum 'Sb3 As3 Au6'
_cell_length_a 3.8907
_cell_length_b 3.8907
_cell_length_c 19.0129
_cell_angle_alpha 90.00
_cell_angle_beta 90.00
_cell_angle_gamma 120.00
_symmetry_space_group_name_H-M 'R 3 m'
_symmetry_Int_Tables_number 160
_symmetry_space_group_name_Hall 'R 3 -2"'
loop_
_atom_site_label
_atom_site_fract_x
_atom_site_fract_y
_atom_site_fract_z
Sb1 0.0000 0.0000 0.0000
As1 0.0000 0.0000 0.2326
Au1 0.0000 0.0000 0.4979
Au2 0.0000 0.0000 0.7485
```

Properties
density of states at the Fermi level = 1.681 states/eV/f.u.
uncorrected formation energy = 0.018 eV per atom
relative energy among the computed polymorphs = 0.000 eV per atom
M_tot = 0.00 Bohr magnetons per cell

=====

[4]
First-principles (PBEsol) data for a relaxed CsTc2Cl crystal, as listed in Alexandria via LeMat-Bulk.

The structure in CIF format:
```
data_CsTc2Cl
_chemical_formula_sum 'Cs4 Tc8 Cl4'
_cell_length_a 6.522
_cell_length_b 6.522
_cell_length_c 6.522
_cell_angle_alpha 90.00
_cell_angle_beta 90.00
_cell_angle_gamma 90.00
_symmetry_space_group_name_H-M 'F m -3 m'
_symmetry_Int_Tables_number 225
_symmetry_space_group_name_Hall '-F 4 2 3'
loop_
_atom_site_label
_atom_site_fract_x
_atom_site_fract_y
_atom_site_fract_z
Cs1 0.000 0.000 0.000
Tc1 0.250 0.250 0.250
Cl1 0.000 0.000 0.500
```

Properties
density of states at the Fermi level = 5.048 states/eV/f.u.
uncorrected formation energy = 1.907 eV per atom
M_tot = 0.01 Bohr magnetons per cell

=====

[5]
First-principles (PBEsol) data for a relaxed SiTc4Pb crystal, as listed in Alexandria via LeMat-Bulk.

The structure in CIF format:
```
data_SiTc4Pb
_chemical_formula_sum 'Si4 Tc16 Pb4'
_cell_length_a 7.296
_cell_length_b 7.296
_cell_length_c 7.296
_cell_angle_alpha 90.00
_cell_angle_beta 90.00
_cell_angle_gamma 90.00
_symmetry_space_group_name_H-M 'F -4 3 m'
_symmetry_Int_Tables_number 216
_symmetry_space_group_name_Hall 'F -4 2 3'
loop_
_atom_site_label
_atom_site_fract_x
_atom_site_fract_y
_atom_site_fract_z
Si1 0.000 0.000 0.000
Tc1 0.126 0.126 0.626
Pb1 0.250 0.250 0.250
```

Properties
density of states at the Fermi level = 5.844 states/eV/f.u.
uncorrected formation energy = 0.604 eV per atom
M_tot = 0.00 Bohr magnetons per cell

=====

[6]
First-principles (PBEsol) data for a relaxed Li2ScCl crystal, as listed in Alexandria via LeMat-Bulk.

The structure in CIF format:
```
data_Li2ScCl
_chemical_formula_sum 'Li4 Sc2 Cl2'
_cell_length_a 3.399
_cell_length_b 5.505
_cell_length_c 8.706
_cell_angle_alpha 90.00
_cell_angle_beta 90.00
_cell_angle_gamma 90.00
_symmetry_space_group_name_H-M 'C m m 2'
_symmetry_Int_Tables_number 35
loop_
_symmetry_equiv_pos_as_xyz
'x,y,z'
'-x,-y,z'
'-x,y,z'
'x,-y,z'
'x+1/2,y+1/2,z'
'-x+1/2,-y+1/2,z'
'-x+1/2,y+1/2,z'
'x+1/2,-y+1/2,z'
loop_
_atom_site_label
_atom_site_fract_x
_atom_site_fract_y
_atom_site_fract_z
Li1 0.000 0.000 0.000
Li2 0.000 0.500 0.283
Sc1 0.000 0.500 0.716
Cl1 0.000 0.000 0.482
```

Properties
density of states at the Fermi level = 3.009 states/eV/f.u.
uncorrected formation energy = -0.563 eV per atom
relative energy among the computed polymorphs = 0.000 eV per atom
M_tot = 0.01 Bohr magnetons per cell

=====

[7]
First-principles (PBEsol) data for a relaxed InSn2Br5 crystal, as listed in Alexandria via LeMat-Bulk.

The structure in CIF format:
```
data_InSn2Br5
_chemical_formula_sum 'In4 Sn8 Br20'
_cell_length_a 8.122
_cell_length_b 8.122
_cell_length_c 14.025
_cell_angle_alpha 90.00
_cell_angle_beta 90.00
_cell_angle_gamma 90.00
_symmetry_space_group_name_H-M 'I 4/m c m'
_symmetry_Int_Tables_number 140
_symmetry_space_group_name_Hall '-I 4 2c'
loop_
_atom_site_label
_atom_site_fract_x
_atom_site_fract_y
_atom_site_fract_z
In1 0.000 0.000 0.250
Sn1 0.164 0.336 0.000
Br1 0.000 0.000 0.000
Br2 0.159 0.341 0.360
```

Properties
density of states at the Fermi level = 0.000 states/eV/f.u.
uncorrected formation energy = -0.715 eV per atom
M_tot = 0.00 Bohr magnetons per cell

=====

[8]
First-principles (PBEsol) data for a relaxed HgTe2Pt crystal, as listed in Alexandria via LeMat-Bulk.

The structure in CIF format:
```
data_HgTe2Pt
_chemical_formula_sum 'Hg1 Te2 Pt1'
_cell_length_a 5.665
_cell_length_b 5.665
_cell_length_c 2.973
_cell_angle_alpha 90.00
_cell_angle_beta 90.00
_cell_angle_gamma 90.00
_symmetry_space_group_name_H-M 'P 4/m m m'
_symmetry_Int_Tables_number 123
_symmetry_space_group_name_Hall '-P 4 2'
loop_
_atom_site_label
_atom_site_fract_x
_atom_site_fract_y
_atom_site_fract_z
Hg1 0.000 0.000 0.000
Te1 0.000 0.500 0.000
Pt1 0.500 0.500 0.000
```

Properties
density of states at the Fermi level = 1.705 states/eV/f.u.
uncorrected formation energy = 0.087 eV per atom
M_tot = 0.00 Bohr magnetons per cell

=====

[9]
First-principles (PBEsol) data for a relaxed Ca2CuRh crystal, as listed in Alexandria via LeMat-Bulk.

The structure in CIF format:
```
data_Ca2CuRh
_chemical_formula_sum 'Ca2 Cu1 Rh1'
_cell_length_a 3.376
_cell_length_b 3.376
_cell_length_c 7.858
_cell_angle_alpha 90.00
_cell_angle_beta 90.00
_cell_angle_gamma 90.00
_symmetry_space_group_name_H-M 'P 4 m m'
_symmetry_Int_Tables_number 99
loop_
_symmetry_equiv_pos_as_xyz
'x,y,z'
'-y,x,z'
'-x,-y,z'
'y,-x,z'
'-x,y,z'
'y,x,z'
'x,-y,z'
'-y,-x,z'
loop_
_atom_site_label
_atom_site_fract_x
_atom_site_fract_y
_atom_site_fract_z
Ca1 0.000 0.000 0.000
Ca2 0.500 0.500 0.421
Cu1 0.000 0.000 0.647
Rh1 0.500 0.500 0.773
```

Properties
density of states at the Fermi level = 2.113 states/eV/f.u.
energy relative to the elements = -22 kJ/mol of formula units
M_tot = 0.00 Bohr magnetons per cell

=====

[10]
First-principles (PBEsol) data for a relaxed Cu2AgSe crystal, as listed in Alexandria via LeMat-Bulk.

The structure in CIF format:
```
data_Cu2AgSe
_chemical_formula_sum 'Cu2 Ag1 Se1'
_cell_length_a 2.895
_cell_length_b 3.491
_cell_length_c 5.890
_cell_angle_alpha 90.00
_cell_angle_beta 90.00
_cell_angle_gamma 90.00
_symmetry_space_group_name_H-M 'P m m 2'
_symmetry_Int_Tables_number 25
loop_
_symmetry_equiv_pos_as_xyz
'x,y,z'
'-x,-y,z'
'-x,y,z'
'x,-y,z'
loop_
_atom_site_label
_atom_site_fract_x
_atom_site_fract_y
_atom_site_fract_z
Cu1 0.000 0.000 0.000
Cu2 0.500 0.500 0.202
Ag1 0.500 0.500 0.753
Se1 0.000 0.000 0.427
```

Properties
density of states at the Fermi level = 1.375 states/eV/f.u.
uncorrected formation energy = 0.121 eV per atom
M_tot = 0.00 Bohr magnetons per cell

=====

[11]
First-principles (PBEsol) data for a relaxed YFeAg4 crystal, as listed in Alexandria via LeMat-Bulk.

The structure in CIF format:
```
data_YFeAg4
_chemical_formula_sum 'Y4 Fe4 Ag16'
_cell_length_a 7.607
_cell_length_b 7.607
_cell_length_c 7.607
_cell_angle_alpha 90.00
_cell_angle_beta 90.00
_cell_angle_gamma 90.00
_symmetry_space_group_name_H-M 'F -4 3 m'
_symmetry_Int_Tables_number 216
_symmetry_space_group_name_Hall 'F -4 2 3'
loop_
_atom_site_label
_atom_site_fract_x
_atom_site_fract_y
_atom_site_fract_z
Y1 0.000 0.000 0.000
Fe1 0.250 0.250 0.750
Ag1 0.124 0.124 0.376
```

Properties
density of states at the Fermi level = 9.773 states/eV/f.u.
energy relative to the elements = 99 kJ/mol of formula units
M_tot = 11.97 Bohr magnetons per cell

=====

[12]
First-principles (PBEsol) data for a relaxed Cr2SbPt crystal, as listed in Alexandria via LeMat-Bulk.

The structure in CIF format:
```
data_Cr2SbPt
_chemical_formula_sum 'Cr4 Sb2 Pt2'
_cell_length_a 3.930
_cell_length_b 3.930
_cell_length_c 7.576
_cell_angle_alpha 90.00
_cell_angle_beta 90.00
_cell_angle_gamma 90.00
_symmetry_space_group_name_H-M 'I 4/m m m'
_symmetry_Int_Tables_number 139
_symmetry_space_group_name_Hall '-I 4 2'
loop_
_atom_site_label
_atom_site_fract_x
_atom_site_fract_y
_atom_site_fract_z
Cr1 0.000 0.500 0.250
Sb1 0.000 0.000 0.000
Pt1 0.000 0.000 0.500
```

Properties
density of states at the Fermi level = 3.919 states/eV/f.u.
uncorrected formation energy = 0.138 eV per atom
M_tot = 6.33 Bohr magnetons per cell

=====

[13]
First-principles (PBEsol) data for a relaxed CrNiRh crystal, as listed in Alexandria via LeMat-Bulk.

The structure in CIF format:
```
data_CrNiRh
_chemical_formula_sum 'Cr2 Ni2 Rh2'
_cell_length_a 2.570
_cell_length_b 2.570
_cell_length_c 10.667
_cell_angle_alpha 90.00
_cell_angle_beta 90.00
_cell_angle_gamma 90.00
_symmetry_space_group_name_H-M 'I 4 m m'
_symmetry_Int_Tables_number 107
_symmetry_space_group_name_Hall 'I 4 -2'
loop_
_atom_site_label
_atom_site_fract_x
_atom_site_fract_y
_atom_site_fract_z
Cr1 0.000 0.000 0.000
Ni1 0.000 0.000 0.657
Rh1 0.000 0.000 0.335
```

Properties
density of states at the Fermi level = 3.785 states/eV/f.u.
energy relative to the elements = 0 kJ/mol of formula units
relative energy among the computed polymorphs = 0.055 eV per atom
M_tot = 0.00 Bohr magnetons per cell

=====

[14]
First-principles (PBEsol) data for a relaxed Mn2IrPb crystal, as listed in Alexandria via LeMat-Bulk.

The structure in CIF format:
```
data_Mn2IrPb
_chemical_formula_sum 'Mn4 Ir2 Pb2'
_cell_length_a 3.952
_cell_length_b 3.952
_cell_length_c 8.007
_cell_angle_alpha 90.00
_cell_angle_beta 90.00
_cell_angle_gamma 90.00
_symmetry_space_group_name_H-M 'I -4 m 2'
_symmetry_Int_Tables_number 119
_symmetry_space_group_name_Hall 'I -4 -2'
loop_
_atom_site_label
_atom_site_fract_x
_atom_site_fract_y
_atom_site_fract_z
Mn1 0.000 0.000 0.000
Mn2 0.000 0.500 0.250
Ir1 0.000 0.500 0.750
Pb1 0.000 0.000 0.500
```

Properties
density of states at the Fermi level = 2.838 states/eV/f.u.
energy relative to the elements = 155 kJ/mol of formula units
M_tot = 14.22 Bohr magnetons per cell

=====

[15]
First-principles (PBEsol) data for a relaxed FeOs3 crystal, as listed in Alexandria via LeMat-Bulk.

The structure in CIF format:
```
data_FeOs3
_chemical_formula_sum 'Fe1 Os3'
_cell_length_a 2.690
_cell_length_b 4.201
_cell_length_c 4.638
_cell_angle_alpha 90.00
_cell_angle_beta 90.00
_cell_angle_gamma 90.00
_symmetry_space_group_name_H-M 'P m m 2'
_symmetry_Int_Tables_number 25
loop_
_symmetry_equiv_pos_as_xyz
'x,y,z'
'-x,-y,z'
'-x,y,z'
'x,-y,z'
loop_
_atom_site_label
_atom_site_fract_x
_atom_site_fract_y
_atom_site_fract_z
Fe1 0.000 0.000 0.000
Os1 0.000 0.500 0.329
Os2 0.500 0.000 0.512
Os3 0.500 0.500 0.851
```

Properties
density of states at the Fermi level = 2.938 states/eV/f.u.
energy relative to the elements = 11 kJ/mol of formula units
M_tot = 0.00 Bohr magnetons per cell